3
Lattice="0.0000 3.2810 3.2810 3.2810 0.0000 3.2810 3.2810 3.2810 0.0000" Properties=species:S:1:pos:R:3 comment="YSbMo, optimized geometry, DFT PBEsol" n_ef_per_ev_cell=2.96 crystal_system=cubic e_above_lowest_polymorph_kcal_per_mol_atoms=6.80 pbc="T T T"
Y 0.0000 0.0000 0.0000
Sb 3.2810 3.2810 3.2810
Mo 4.9215 4.9215 4.9215